This record from Alexandria via LeMat-Bulk describes a crystal of Ta3P relaxed with PBEsol. The functional is SCAN.

```
Ta3P
1.0
4.323 0.000 0.000
0.000 4.323 0.000
0.000 0.000 3.431
Ta P
3 1
Cartesian
0.000 0.000 0.000
0.000 2.162 1.715
2.162 0.000 1.715
2.162 2.162 0.000
```

## Properties
The calculation puts the total moment at 0.0 μB/f.u. The formation energy is -0.196 eV per atom. As for the total energy: -52.733 eV per atom.